4
Lattice="-1.4956 -2.8477 2.3827 0.7563 -3.3447 -3.5227 4.2440 -0.8173 1.6871" Properties=species:S:1:pos:R:3 comment="PBE Y2ZrIr, relaxed" e_tot_ev_per_atom=-7.71 magmom_total_mub_per_atom=0.00 ef_kj_per_mol_atoms=-11.8 volume_a3_per_atom=22.8 sg="Pmmm, No. 47" pbc="T T T"
Y -0.3697 -3.0962 -0.5700
Y 0.0000 0.0000 0.0000
Zr 1.3742 -1.8325 2.0349
Ir 2.5001 -2.0810 -0.9178



12
Lattice="-3.4779 0.0518 -4.5029 3.2125 -4.1259 -2.2431 -3.9313 -2.8034 6.4563" Properties=species:S:1:pos:R:3 comment="PBE Pa2Si3Os, relaxed" e_tot_ev_per_atom=-8.39 magmom_total_mub_per_atom=0.00 volume_a3_per_atom=19.0 e_form_raw_ev_per_atom=-0.64 sg="Fmmm, No. 69" pbc="T T T"
Os -1.4755 -3.6364 -2.3542
Pa -3.7710 -2.3944 -0.7098
Si -2.8560 -5.2807 -1.3068
Si -1.3407 -1.5968 1.0172
Si 0.9056 -3.9072 -2.2844
Si -5.1023 -2.9703 1.9947
Si -1.6797 -5.1075 3.1507
Pa -0.4258 -4.4832 0.4201
Pa -0.0683 -1.0484 -1.7359
Pa -0.1971 -3.0258 -5.0100
Si -2.5170 -1.7701 -3.4404
Os -2.7212 -3.2412 2.0645



12
Lattice="-5.8648 -3.4169 -1.6249 3.2382 -1.3041 6.0437 -5.7602 7.6356 4.7339" Properties=species:S:1:pos:R:3 comment="PBE RbBaNi2Br8, relaxed" e_tot_ev_per_atom=-3.25 magmom_total_mub_per_atom=0.42 volume_a3_per_atom=37.5 e_form_raw_ev_per_atom=-0.93 sg="P-3, No. 147" pbc="T T T"
Rb 0.0000 0.0000 0.0000
Br -5.4419 5.4755 8.1273
Br -2.9450 -2.5609 1.0253
Ni -4.1942 -0.9049 2.0520
Br -2.6460 0.6213 2.9732
Br -2.2840 -1.2331 6.4047
Br -8.7605 1.4774 3.8211
Br -5.7409 2.2933 6.1794
Ni -4.1926 3.8195 7.1006
Br -6.1028 4.1477 2.7479
Br 0.3737 1.4372 5.3315
Ba -2.8801 3.8178 2.3669



4
Lattice="-0.2117 2.7129 -1.8367 -0.0192 -1.8332 -2.7055 -7.8607 -2.2612 -2.4340" Properties=species:S:1:pos:R:3 comment="PBE MgTcSb2, relaxed" e_tot_ev_per_atom=-5.06 magmom_total_mub_per_atom=0.00 volume_a3_per_atom=21.1 e_form_raw_ev_per_atom=-0.01 sg="P2/m, No. 10" pbc="T T T"
Tc -2.0758 0.3329 -2.2032
Mg -6.0157 -1.7143 -4.7729
Sb -0.3405 -1.8569 -2.7035
Sb -3.6185 -2.0235 -2.5717



9
Lattice="2.8792 0.0000 0.0000 0.0000 7.7956 0.0000 0.0000 -3.8978 6.7512" Properties=species:S:1:pos:R:3 comment="PBE LiZn3Cd3Pd2, relaxed" e_tot_ev_per_atom=-2.29 magmom_total_mub_per_atom=0.00 ef_kj_per_mol_atoms=-18.3 volume_a3_per_atom=16.8 sg="P-62m, No. 189" pbc="T T T"
Zn 0.0000 -1.4798 2.5631
Cd 1.4396 5.5217 0.0000
Zn 0.0000 2.9596 0.0000
Pd 1.4396 0.0000 4.5008
Cd 1.4396 -2.7608 4.7819
Pd 1.4396 3.8978 2.2504
Zn 0.0000 2.4180 4.1881
Li 0.0000 0.0000 0.0000
Cd 1.4396 1.1370 1.9693



28
Lattice="7.1722 0.0000 4.1409 2.3907 6.7620 4.1409 0.0000 0.0000 8.2818" Properties=species:S:1:pos:R:3 comment="PBE RbDy3F10, relaxed" e_tot_ev_per_atom=-6.39 magmom_total_mub_per_atom=0.01 volume_a3_per_atom=14.3 e_form_raw_ev_per_atom=-4.00 sg="Fm-3m, No. 225" pbc="T T T"
Rb 7.1722 5.0715 12.4226
Dy 2.4830 1.7558 8.2818
F 5.8389 4.1287 6.4503
Dy 3.6322 5.0063 10.2723
F 5.6000 2.2234 4.1409
F 3.9629 4.5386 4.1409
F 2.3583 0.0000 1.3615
F 4.7815 1.1379 8.2818
Dy 5.9307 1.7558 10.2723
F 5.8389 4.1287 10.1133
F 3.7241 2.6333 6.4503
Dy 5.9307 1.7558 6.2912
Dy 3.6322 5.0063 6.2912
F 1.6047 4.5386 2.7793
F 0.0000 0.0000 2.7231
Rb 2.3907 1.6905 4.1409
F 4.7815 5.6241 8.2818
F 1.6047 4.5386 5.5024
F 0.7861 2.2234 6.9202
F 4.8140 0.0000 5.5024
F 2.3583 0.0000 6.9202
F 0.7861 2.2234 1.3615
F 2.6667 4.1287 8.2818
F 0.0000 0.0000 5.5587
Dy 7.0799 5.0063 8.2818
F 4.8140 0.0000 2.7793
F 3.7241 2.6333 10.1132
F 6.8963 2.6333 8.2818



18
Lattice="-6.6400 2.9664 -2.2013 -5.5922 -4.5668 -2.3997 -5.4261 -1.1062 14.6431" Properties=species:S:1:pos:R:3 comment="PBE Rb12IO5, relaxed" e_tot_ev_per_atom=-3.02 magmom_total_mub_per_atom=0.01 volume_a3_per_atom=43.6 e_form_raw_ev_per_atom=-0.91 sg="C2/m, No. 12" pbc="T T T"
Rb -8.3335 -0.6767 6.6095
Rb -10.4268 0.2028 -2.1107
Rb -8.7284 0.7267 11.8829
Rb -3.3378 1.1336 0.5589
I 0.0000 0.0000 0.0000
Rb -12.4152 -1.2216 5.0734
O -10.1094 0.3994 4.6879
Rb -10.9156 -2.3953 10.8441
O -7.5489 -3.1060 5.3543
Rb -9.3248 -2.0300 3.4327
Rb -4.2541 -0.1560 8.1674
O -6.0331 0.9301 6.2209
Rb -7.2316 -2.9093 12.1529
Rb -6.7428 -0.3113 -0.8020
Rb -5.2431 -1.4850 4.9688
O -4.0771 -0.5326 -1.5335
Rb -7.8120 2.0161 4.2744
O -8.1551 -1.0677 -3.0675



5
Lattice="-2.3091 2.0891 -4.9570 -3.4913 -4.6859 -0.3486 -4.2715 2.9422 3.2297" Properties=species:S:1:pos:R:3 comment="PBE LiBiSb2Te, relaxed" e_tot_ev_per_atom=-2.88 magmom_total_mub_per_atom=0.21 volume_a3_per_atom=41.9 e_form_raw_ev_per_atom=0.56 sg="P4/mmm, No. 123" pbc="T T T"
Sb -1.1545 1.0446 -2.4785
Sb -1.7456 -2.3429 -0.1743
Bi 0.0000 0.0000 0.0000
Te -2.1357 1.4711 1.6149
Li -5.0359 0.1727 -1.0379